BaLiTmTl: optimized geometry, PBE.

Output
Density ... 6.72 g/cm³
ΔE_f ... -4.9 kJ/mol of atoms
Magnetic moment ... 0.00 μB per cell
Space group ... F-43m, No. 216
Total energy ... -2.719 eV/atom

Cell and atoms, written as extended XYZ:
```
4
Lattice="0.0000 3.9986 3.9986 3.9986 0.0000 3.9986 3.9986 3.9986 0.0000" Properties=species:S:1:pos:R:3 pbc="T T T"
Ba 0.0000 0.0000 0.0000
Li 5.9980 5.9980 5.9980
Tm 3.9986 3.9986 3.9986
Tl 1.9993 1.9993 1.9993
```

***

Rb3FeBr5: optimized geometry, PBE.

Output
Density ... 3.51 g/cm³
Magnetic moment ... 8.00 μB per cell
Space group ... I4/mcm, No. 140
Total energy ... -3.508 eV/atom
Energy relative to the elements, uncorrected ... -1.3159 eV/atom

Cell and atoms, written as extended XYZ:
```
18
Lattice="-4.7264 4.7264 7.5424 4.7264 -4.7264 7.5424 4.7264 4.7264 -7.5424" Properties=species:S:1:pos:R:3 pbc="T T T"
Rb 6.2594 1.5330 0.0000
Rb 0.0000 0.0000 3.7712
Rb 1.5330 3.1934 0.0000
Rb 3.1934 1.5330 7.5424
Rb 0.0000 0.0000 11.3136
Rb -1.5330 3.1934 7.5424
Fe 4.7264 0.0000 3.7712
Fe 0.0000 4.7264 3.7712
Br 0.0000 0.0000 0.0000
Br 6.0912 -1.3649 2.2921
Br 3.3615 -1.3649 5.2503
Br 3.3615 1.3649 2.2921
Br 6.0912 1.3649 5.2503
Br 0.0000 0.0000 7.5424
Br -1.3649 3.3615 2.2921
Br 1.3649 3.3615 5.2503
Br 1.3649 6.0912 2.2921
Br -1.3649 6.0912 5.2503
```

***

SmErCdRh: optimized geometry, PBE.

Output
Density ... 9.51 g/cm³
ΔE_f ... -48.6 kJ/mol of atoms
Magnetic moment ... 0.00 μB per cell
Space group ... F-43m, No. 216
Total energy ... -4.891 eV/atom

Cell and atoms, written as extended XYZ:
```
4
Lattice="0.0000 3.5965 3.5965 3.5965 0.0000 3.5965 3.5965 3.5965 0.0000" Properties=species:S:1:pos:R:3 pbc="T T T"
Sm 0.0000 0.0000 0.0000
Er 3.5965 3.5965 3.5965
Cd 5.3948 5.3948 5.3948
Rh 1.7983 1.7983 1.7983
```

***

In3BPd: optimized geometry, PBE.

Output
Density ... 5.69 g/cm³
ΔE_f ... 79.4 kJ/mol of atoms
Magnetic moment ... 0.00 μB per cell
Space group ... Pm-3m, No. 221
Total energy ... -3.194 eV/atom

Cell and atoms, written as extended XYZ:
```
5
Lattice="5.1252 0.0000 0.0000 0.0000 5.1252 0.0000 0.0000 0.0000 5.1252" Properties=species:S:1:pos:R:3 pbc="T T T"
In 0.0000 0.0000 2.5626
In 0.0000 2.5626 0.0000
In 2.5626 0.0000 0.0000
B 2.5626 2.5626 2.5626
Pd 0.0000 0.0000 0.0000
```

***

RbSCl4: optimized geometry, PBE.

Output
Density ... 1.76 g/cm³
Magnetic moment ... 1.00 μB per cell
Space group ... Imm2, No. 44
Total energy ... -2.763 eV/atom
Energy relative to the elements, uncorrected ... -0.6831 eV/atom

Cell and atoms, written as extended XYZ:
```
6
Lattice="-3.8440 3.9338 4.0480 3.8440 -3.9338 4.0480 3.8440 3.9338 -4.0480" Properties=species:S:1:pos:R:3 pbc="T T T"
Rb 0.0000 0.0000 0.0000
S 0.0000 3.9338 1.7308
Cl -1.5992 2.3360 1.9822
Cl 1.5992 2.3360 1.9822
Cl -1.5992 5.5315 1.9822
Cl 1.5992 5.5315 1.9822
```

***

Ho2BeSi3: optimized geometry, PBE.

Output
Density ... 6.64 g/cm³
Magnetic moment ... 0.00 μB per cell
Space group ... Fmmm, No. 69
Total energy ... -5.531 eV/atom
Energy relative to the elements, uncorrected ... -0.6723 eV/atom

Cell and atoms, written as extended XYZ:
```
12
Lattice="0.0000 3.9807 6.7805 3.9185 0.0000 6.7805 3.9185 3.9807 0.0000" Properties=species:S:1:pos:R:3 pbc="T T T"
Ho 3.9185 1.9564 6.7805
Ho 1.9592 1.9904 3.3903
Ho 5.8777 5.9711 10.1708
Ho 3.9185 6.0050 6.7805
Be 3.9185 3.9807 4.5236
Be 3.9185 3.9807 9.0375
Si 3.9185 3.9807 2.3395
Si 5.7895 3.9807 5.6138
Si 5.7895 3.9807 7.9473
Si 2.0474 3.9807 5.6138
Si 2.0474 3.9807 7.9473
Si 3.9185 3.9807 11.2216
```

***

Pm5Ho2ErTh: optimized geometry, PBE.

Output
Density ... 7.93 g/cm³
ΔE_f ... 14.9 kJ/mol of atoms
Magnetic moment ... 0.00 μB per cell
Space group ... Cmc2_1, No. 36
Total energy ... -4.833 eV/atom

Cell and atoms, written as extended XYZ:
```
18
Lattice="2.8085 -10.2324 0.0000 2.8085 10.2324 0.0000 0.0000 0.0000 10.5961" Properties=species:S:1:pos:R:3 pbc="T T T"
Pm 2.8085 9.9548 5.2980
Pm 2.8085 4.5728 2.1824
Pm 2.8085 4.2373 8.6198
Pm 2.8085 2.3551 5.2312
Pm 2.8085 0.3552 8.1863
Pm 2.8085 -0.3552 2.8883
Pm 2.8085 -2.3551 10.5293
Pm 2.8085 -4.2373 3.3218
Pm 2.8085 -4.5728 7.4805
Pm 2.8085 -9.9548 0.0000
Ho 2.8085 7.9371 8.2533
Ho 2.8085 7.8804 2.2194
Ho 2.8085 -7.8804 7.5174
Ho 2.8085 -7.9371 2.9553
Er 2.8085 1.9447 0.5989
Er 2.8085 -1.9447 5.8970
Th 2.8085 6.1516 5.3694
Th 2.8085 -6.1516 0.0714
```

***

LaCu8Ni4: optimized geometry, PBE.

Output
Density ... 8.47 g/cm³
ΔE_f ... -9.4 kJ/mol of atoms
Magnetic moment ... 0.00 μB per cell
Space group ... I4/mmm, No. 139
Total energy ... -4.777 eV/atom

Cell and atoms, written as extended XYZ:
```
13
Lattice="-4.2131 4.2131 2.4349 4.2131 -4.2131 2.4349 4.2131 4.2131 -2.4349" Properties=species:S:1:pos:R:3 pbc="T T T"
La 0.0000 0.0000 0.0000
Cu 2.9741 0.0000 0.0000
Cu 5.4521 0.0000 0.0000
Cu 4.2131 2.2774 0.0000
Cu 0.0000 2.9741 0.0000
Cu 2.2774 4.2131 0.0000
Cu 1.9357 0.0000 2.4349
Cu 0.0000 5.4521 0.0000
Cu 0.0000 1.9357 2.4349
Ni 2.1066 2.1066 -1.2174
Ni 2.1066 -2.1066 1.2174
Ni -2.1066 2.1066 1.2174
Ni 2.1066 2.1066 1.2174
```